No. 1
First-principles (GGA-PBE) data for a geometry-optimized La2TbYS4 structure, as listed in the Alexandria database.

Values from the calculation:
Formation energy without anion corrections   -2091 meV per atom
Magnetization   0.0 μB per formula unit
ρ   5.83 g/cm3
Symmetry   P2/m, No. 10

Cell and atoms, written as POSCAR:
```
La2TbYS4
1.0
6.9550 0.0000 0.0000
0.0000 3.9908 0.0000
-2.3012 0.0000 6.7101
La Tb Y S
2 1 1 4
Direct
0.0000 0.0000 0.0000
0.5000 0.5000 0.0000
0.0000 0.5000 0.5000
0.5000 0.0000 0.5000
0.2439 0.0000 0.7310
0.2572 0.5000 0.2694
0.7428 0.5000 0.7306
0.7561 0.0000 0.2690
```

***

No. 2
First-principles (GGA-PBE) data for a geometry-optimized ScAg8Au6 structure, as listed in the Alexandria database.

Values from the calculation:
Magnetization   0.0 μB per formula unit
ρ   11.63 g/cm3
Symmetry   R-3, No. 148
Formation enthalpy at 0 K   -0.055 eV/atom

Cell and atoms, written as POSCAR:
```
ScAg8Au6
1.0
3.9149 2.2603 5.6210
-3.9149 2.2603 5.6210
0.0000 -4.5205 5.6210
Sc Ag Au
1 8 6
Direct
0.0000 0.0000 0.0000
0.1391 0.8229 0.4267
0.1771 0.5733 0.8609
0.2491 0.2491 0.2491
0.4267 0.1391 0.8229
0.5733 0.8609 0.1771
0.7509 0.7509 0.7509
0.8229 0.4267 0.1391
0.8609 0.1771 0.5733
0.0720 0.3675 0.6769
0.3231 0.9280 0.6325
0.3675 0.6769 0.0720
0.6325 0.3231 0.9280
0.6769 0.0720 0.3675
0.9280 0.6325 0.3231
```

***

No. 3
First-principles (GGA-PBE) data for a geometry-optimized FeSiH2Se structure, as listed in the Alexandria database.

Values from the calculation:
Magnetization   2.2 μB per formula unit
ρ   4.34 g/cm3
Symmetry   P4/mmm, No. 123

Cell and atoms, written as POSCAR:
```
FeSiH2Se
1.0
3.6043 0.0000 0.0000
0.0000 3.6043 0.0000
0.0000 0.0000 4.8544
Fe Si H Se
1 1 2 1
Direct
0.0000 0.0000 0.0000
0.5000 0.5000 0.5000
0.0000 0.5000 0.0000
0.5000 0.0000 0.0000
0.0000 0.0000 0.5000
```

***

no.,total energy (eV per formula unit)
1,-54.18
2,-49.63
3,-21.66